VASP calculation (PBE with a Hubbard U) on an optimized crystal structure of LaMoO2F.

```
LaMoO2F
1.0
-0.102 1.073 -4.504
-0.400 -4.490 -1.061
-4.574 0.362 0.190
Mo F O La
1 1 2 1
Direct
0.500 0.500 0.500
0.000 0.000 0.500
0.000 0.500 0.000
0.500 0.000 0.000
0.000 0.000 0.000
```

Calculated values
As for the raw total energy: -6.3540 eV/atom. Its calculated volume is 98.5 Å³/cell. The space-group type is P4/mmm, No. 123.